(1)
# Ho3ScO6

A relaxed Ho3ScO6 crystal (GGA-PBEsol, the Alexandria database).

CIF file:
```
data_Ho3ScO6
_chemical_formula_sum 'Ho6 Sc2 O12'
_cell_length_a 6.4953
_cell_length_b 6.4953
_cell_length_c 6.4953
_cell_angle_alpha 92.03
_cell_angle_beta 92.03
_cell_angle_gamma 92.03
_space_group_name_H-M_alt 'P 1'
_space_group_IT_number 1
loop_
_space_group_symop_operation_xyz
'x,y,z'
loop_
_atom_site_label
_atom_site_type_symbol
_atom_site_fract_x
_atom_site_fract_y
_atom_site_fract_z
Ho1 Ho 0.0612 0.5684 0.7527
Ho2 Ho 0.2473 0.9388 0.4316
Ho3 Ho 0.4316 0.2473 0.9388
Ho4 Ho 0.5684 0.7527 0.0612
Ho5 Ho 0.7527 0.0612 0.5684
Ho6 Ho 0.9388 0.4316 0.2473
Sc1 Sc 0.0000 0.0000 0.0000
Sc2 Sc 0.5000 0.5000 0.5000
O1 O 0.0363 0.9065 0.6924
O2 O 0.0935 0.3076 0.9637
O3 O 0.1927 0.5872 0.4305
O4 O 0.3076 0.9637 0.0935
O5 O 0.4128 0.5695 0.8073
O6 O 0.4305 0.1927 0.5872
O7 O 0.5695 0.8073 0.4128
O8 O 0.5872 0.4305 0.1927
O9 O 0.6924 0.0363 0.9065
O10 O 0.8073 0.4128 0.5695
O11 O 0.9065 0.6924 0.0363
O12 O 0.9637 0.0935 0.3076
```

Properties
Fermi-level density of states (states/eV/cell): 0.000
Symmetry: R-3 (148)
Theoretical density (g cm⁻³): 7.72
Uncorrected formation energy (eV per atom): -3.656


(2)
# CaSbBr3

A relaxed CaSbBr3 crystal (GGA-PBEsol, the Alexandria database).

CIF file:
```
data_CaSbBr3
_chemical_formula_sum 'Ca1 Sb1 Br3'
_cell_length_a 5.6651
_cell_length_b 5.6651
_cell_length_c 5.6651
_cell_angle_alpha 90.00
_cell_angle_beta 90.00
_cell_angle_gamma 90.00
_space_group_name_H-M_alt 'P 1'
_space_group_IT_number 1
loop_
_space_group_symop_operation_xyz
'x,y,z'
loop_
_atom_site_label
_atom_site_type_symbol
_atom_site_fract_x
_atom_site_fract_y
_atom_site_fract_z
Ca1 Ca 0.0000 0.0000 0.0000
Sb1 Sb 0.5000 0.5000 0.5000
Br1 Br 0.0000 0.5000 0.5000
Br2 Br 0.5000 0.0000 0.5000
Br3 Br 0.5000 0.5000 0.0000
```

Properties
Fermi-level density of states (states/eV/cell): 3.547
Symmetry: Pm-3m (221)
Theoretical density (g cm⁻³): 3.67
Uncorrected formation energy (eV per atom): -0.465


(3)
# Be3C4

A relaxed Be3C4 crystal (GGA-PBEsol, the Alexandria database).

CIF file:
```
data_Be3C4
_chemical_formula_sum 'Be3 C4'
_cell_length_a 8.4612
_cell_length_b 8.4612
_cell_length_c 8.4612
_cell_angle_alpha 163.47
_cell_angle_beta 163.47
_cell_angle_gamma 23.46
_space_group_name_H-M_alt 'P 1'
_space_group_IT_number 1
loop_
_space_group_symop_operation_xyz
'x,y,z'
loop_
_atom_site_label
_atom_site_type_symbol
_atom_site_fract_x
_atom_site_fract_y
_atom_site_fract_z
Be1 Be 0.0000 0.0000 0.0000
Be2 Be 0.2924 0.2924 0.0000
Be3 Be 0.7076 0.7076 0.0000
C1 C 0.1049 0.1049 0.0000
C2 C 0.4037 0.4037 0.0000
C3 C 0.5963 0.5963 0.0000
C4 C 0.8951 0.8951 0.0000
```

Properties
Energy of formation (eV/atom): 1.611
Relative energy among the computed polymorphs (eV/atom): 0.000
Fermi-level density of states (states/eV/cell): 2.374
Symmetry: I4/mmm (139)
Theoretical density (g cm⁻³): 2.54